DFT (PBE-GGA) results for CaHfS2 after structural relaxation.

Calculated values
- ΔE_f (raw) (eV/atom) = -1.112
- E above lowest polymorph (meV/atom) = 172

```
4
Lattice="3.2584 -7.6165 0.0947 5.5461 -5.6651 -2.4051 6.1508 -5.3584 1.4460" Properties=species:S:1:pos:R:3 pbc="T T T"
Ca 7.4776 -9.3200 -0.4322
Hf 0.0000 0.0000 0.0000
S 13.4644 -16.7818 -0.7782
S 1.4909 -1.8582 -0.0862
```